## FeBiOF2 (PBE with a Hubbard U)

Data for crystalline FeBiOF2 at its relaxed geometry.

E: -4.58 eV per atom
Excess energy over the best structure of this formula in the dataset: 0.5148 eV/atom

Structure (CIF):
```
data_FeBiOF2
_cell_length_a 4.571
_cell_length_b 4.571
_cell_length_c 4.511
_cell_angle_alpha 90.00
_cell_angle_beta 90.00
_cell_angle_gamma 90.00
_symmetry_space_group_name_H-M 'P 4/m m m'
_symmetry_Int_Tables_number 123
_symmetry_space_group_name_Hall '-P 4 2'
loop_
_atom_site_label
_atom_site_fract_x
_atom_site_fract_y
_atom_site_fract_z
Fe1 0.000 0.000 0.000
Bi1 0.500 0.500 0.500
O1 0.500 0.500 0.000
F1 0.000 0.500 0.500
```